No. 1
This record from the Alexandria database describes a crystal of TiFeS3 relaxed with PBEsol. The functional is meta-GGA SCAN.

Cell and atoms, written as CIF:
```
data_TiFeS3
_chemical_formula_sum 'Ti1 Fe1 S3'
_cell_length_a 4.3397
_cell_length_b 4.3397
_cell_length_c 4.3397
_cell_angle_alpha 90.00
_cell_angle_beta 90.00
_cell_angle_gamma 90.00
_symmetry_space_group_name_H-M 'P m -3 m'
_symmetry_Int_Tables_number 221
_symmetry_space_group_name_Hall '-P 4 2 3'
loop_
_atom_site_label
_atom_site_type_symbol
_atom_site_fract_x
_atom_site_fract_y
_atom_site_fract_z
Ti1 Ti 0.0000 0.0000 0.0000
Fe1 Fe 0.5000 0.5000 0.5000
S1 S 0.0000 0.5000 0.5000
```

Results
formation energy without anion corrections = -3.4 kJ/mol of atoms
volume = 16.3 Å³ per atom

No. 2
This record from the Alexandria database describes a crystal of Mo2RuRh relaxed with PBEsol. The functional is meta-GGA SCAN.

Cell and atoms, written as CIF:
```
data_Mo2RuRh
_chemical_formula_sum 'Mo2 Ru1 Rh1'
_cell_length_a 3.2648
_cell_length_b 3.2648
_cell_length_c 5.4572
_cell_angle_alpha 90.00
_cell_angle_beta 90.00
_cell_angle_gamma 90.00
_symmetry_space_group_name_H-M 'P 4/m m m'
_symmetry_Int_Tables_number 123
_symmetry_space_group_name_Hall '-P 4 2'
loop_
_atom_site_label
_atom_site_type_symbol
_atom_site_fract_x
_atom_site_fract_y
_atom_site_fract_z
Mo1 Mo 0.0000 0.0000 0.2477
Ru1 Ru 0.5000 0.5000 0.0000
Rh1 Rh 0.5000 0.5000 0.5000
```

Results
volume = 14.5 Å³ per atom
energy of formation = 207.1 meV/atom
ΔE to the lowest computed polymorph = 110 kJ/mol of formula units

No. 3
This record from the Alexandria database describes a crystal of Ac2ZnSn relaxed with PBEsol. The functional is meta-GGA SCAN.

Cell and atoms, written as CIF:
```
data_Ac2ZnSn
_chemical_formula_sum 'Ac8 Zn4 Sn4'
_cell_length_a 7.8902
_cell_length_b 7.8902
_cell_length_c 7.8902
_cell_angle_alpha 90.00
_cell_angle_beta 90.00
_cell_angle_gamma 90.00
_symmetry_space_group_name_H-M 'F m -3 m'
_symmetry_Int_Tables_number 225
_symmetry_space_group_name_Hall '-F 4 2 3'
loop_
_atom_site_label
_atom_site_type_symbol
_atom_site_fract_x
_atom_site_fract_y
_atom_site_fract_z
Ac1 Ac 0.2500 0.2500 0.2500
Zn1 Zn 0.0000 0.0000 0.0000
Sn1 Sn 0.0000 0.0000 0.5000
```

Results
volume = 30.7 Å³ per atom
energy of formation = -512.1 meV/atom

No. 4
This record from the Alexandria database describes a crystal of ZrCo6Mo relaxed with PBEsol. The functional is meta-GGA SCAN.

Cell and atoms, written as CIF:
```
data_ZrCo6Mo
_chemical_formula_sum 'Zr8 Co48 Mo8'
_cell_length_a 7.1889
_cell_length_b 10.1576
_cell_length_c 10.1822
_cell_angle_alpha 90.00
_cell_angle_beta 90.00
_cell_angle_gamma 90.00
_symmetry_space_group_name_H-M 'C m m m'
_symmetry_Int_Tables_number 65
_symmetry_space_group_name_Hall '-C 2 2'
loop_
_atom_site_label
_atom_site_type_symbol
_atom_site_fract_x
_atom_site_fract_y
_atom_site_fract_z
Zr1 Zr 0.0000 0.0000 0.2500
Zr2 Zr 0.0000 0.2476 0.0000
Co1 Co 0.0000 0.0000 0.0000
Co2 Co 0.0000 0.0000 0.5000
Co3 Co 0.0000 0.2552 0.2584
Co4 Co 0.0000 0.5000 0.0000
Co5 Co 0.0000 0.5000 0.5000
Co6 Co 0.2417 0.3770 0.1306
Co7 Co 0.2431 0.3726 0.3801
Mo1 Mo 0.0000 0.2470 0.5000
Mo2 Mo 0.0000 0.5000 0.2485
```

Results
volume = 11.6 Å³ per atom
energy of formation = 89.5 meV/atom

Look up the volume of the fourth one.
11.6 Å³ per atom